1.
Here is an optimized crystal structure of CsFe3F from Alexandria via LeMat-Bulk. Energies are from PBE+U.

a = 5.8699 Å, b = 5.8699 Å, c = 5.8699 Å
α = 90.00°, β = 90.00°, γ = 90.00°
With the nearest neighbours (Å) after each atom.
Space group Pm-3m (No. 221)
Symmetry-distinct sites (fractional):
Cs 0.0000 0.0000 0.0000 (multiplicity 1)  6 Fe 2.93
Fe 0.0000 0.0000 0.5000 (multiplicity 3)  2 Cs 2.93
F 0.5000 0.5000 0.5000 (multiplicity 1)  12 Fe 4.15

Fermi-level density of states = 3.4 states/eV/f.u.
Raw total energy = -2.025 eV per atom

=====

2.
Here is an optimized crystal structure of CsFe2F6 from Alexandria via LeMat-Bulk. Energies are from PBE+U.

a = 10.6411 Å, b = 10.6411 Å, c = 10.6411 Å
α = 90.00°, β = 90.00°, γ = 90.00°
With the nearest neighbours (Å) after each atom.
Space group Fd-3m (No. 227, origin choice 2)
Symmetry-distinct sites (fractional):
Cs 0.1250 0.1250 0.1250 (multiplicity 8)  6 F 3.27
Fe 0.0000 0.0000 0.5000 (multiplicity 16)  6 F 2.01
F 0.0678 0.3750 0.8750 (multiplicity 48)  2 Fe 2.01

Fermi-level density of states = 6.6 states/eV/f.u.
Raw total energy = -5.117 eV per atom
Energy relative to the lowest polymorph listed for this composition = 30.3 meV/atom

=====

3.
Here is an optimized crystal structure of CsFeF4 from Alexandria via LeMat-Bulk. Energies are from PBE+U.

a = 7.9315 Å, b = 7.9315 Å, c = 6.6423 Å
α = 90.00°, β = 90.00°, γ = 90.00°
With the nearest neighbours (Å) after each atom.
Space group P4/nmm (No. 129, origin choice 2)
Symmetry-distinct sites (fractional):
Cs 0.2500 0.2500 0.0488 (multiplicity 2)  12 F 3.05-3.35
Cs 0.2500 0.7500 0.0000 (multiplicity 2)  8 F 3.17
Fe 0.0000 0.0000 0.5000 (multiplicity 4)  6 F 1.90-2.01
F 0.0026 0.7500 0.5468 (multiplicity 8)  2 Fe 2.01
F 0.0288 0.0288 0.7818 (multiplicity 8)  1 Fe 1.90

Fermi-level density of states = 0.0 states/eV/f.u.
Raw total energy = -4.975 eV per atom
Energy relative to the lowest polymorph listed for this composition = 3.1 meV/atom

=====

- Look up the raw total energy of the first one.
  -2.025 eV per atom